# Sm2Zn3InPd4

Sm2Zn3InPd4 after structural relaxation (PBE, Alexandria via LeMat-Bulk).

Computed properties:
The calculation puts the total DFT energy (no corrections) at -0.1573 Ha/atom. For the spin magnetization, the calculation gives 0.00 μB per cell.

abc: 4.2055 4.2055 11.1476
angles: 90.00 90.00 90.00
Closest atoms and distances in Å follow each position.
Fractional positions:
Sm (0.0000, 0.5000, 0.2389)  8 Pd 3.22-3.39, 6 Zn 3.22-3.59, 2 In 3.59
Sm (0.5000, 0.0000, 0.7611)  8 Pd 3.22-3.39, 6 Zn 3.22-3.59, 2 In 3.59
Zn (0.0000, 0.5000, 0.8719)  5 Pd 2.47-2.54
Zn (0.5000, 0.0000, 0.1281)  5 Pd 2.47-2.54
Zn (0.5000, 0.5000, 0.5000)  4 Pd 2.69, 4 In 2.97
In (0.0000, 0.0000, 0.5000)  4 Pd 2.69, 4 Zn 2.97
Pd (0.0000, 0.0000, 0.0000)  4 Zn 2.54
Pd (0.0000, 0.5000, 0.6507)  3 Zn 2.47-2.69, 2 In 2.69
Pd (0.5000, 0.0000, 0.3493)  3 Zn 2.47-2.69, 2 In 2.69
Pd (0.5000, 0.5000, 0.0000)  4 Zn 2.54

# SmZn2InPd5

SmZn2InPd5 after structural relaxation (PBE, Alexandria via LeMat-Bulk).

Computed properties:
The calculation puts the total DFT energy (no corrections) at -0.1639 Ha/atom. For the spin magnetization, the calculation gives 0.00 μB per cell.

abc: 4.1952 4.1952 9.2769
angles: 90.00 90.00 90.00
Closest atoms and distances in Å follow each position.
Fractional positions:
Sm (0.0000, 0.0000, 0.0000)  12 Pd 2.96-2.97
Zn (0.5000, 0.5000, 0.3704)  1 Zn 2.40, 4 Pd 2.49
Zn (0.5000, 0.5000, 0.6296)  1 Zn 2.40, 4 Pd 2.49
In (0.0000, 0.0000, 0.5000)  8 Zn 3.20, 8 Pd 3.30
Pd (0.0000, 0.5000, 0.2255)  2 Zn 2.49
Pd (0.0000, 0.5000, 0.7745)  2 Zn 2.49
Pd (0.5000, 0.0000, 0.2255)  2 Zn 2.49
Pd (0.5000, 0.0000, 0.7745)  2 Zn 2.49
Pd (0.5000, 0.5000, 0.0000)  8 Pd 2.96, 4 Sm 2.97

# In2SnPd8

In2SnPd8 after structural relaxation (PBE, Alexandria via LeMat-Bulk).

Computed properties:
The calculation puts the total DFT energy (no corrections) at -0.1868 Ha/atom. The energy above the lowest structure with this stoichiometry comes out at 0.0 meV/atom. For the spin magnetization, the calculation gives 0.00 μB per cell.

abc: 7.5343 7.5343 6.3211
angles: 105.04 105.04 32.14
Closest atoms and distances in Å follow each position.
Fractional positions:
In (0.2162, 0.2162, 0.1578)  10 Pd 2.72-3.05
In (0.7838, 0.7838, 0.8422)  10 Pd 2.72-3.05
Sn (0.5000, 0.5000, 0.5000)  12 Pd 2.72-3.02
Pd (0.0371, 0.0371, 0.2335)  1 In 2.76, 9 Pd 2.82-2.97, 2 Sn 2.82
Pd (0.1480, 0.1480, 0.7016)  3 In 2.78-2.84, 7 Pd 2.82-2.96, 2 Sn 3.02
Pd (0.3253, 0.3253, 0.5829)  1 Sn 2.72, 3 In 2.72-2.82, 8 Pd 2.83-2.99
Pd (0.4077, 0.4077, 0.0436)  3 In 2.82-3.05, 1 Sn 2.83, 8 Pd 2.83-2.97
Pd (0.5923, 0.5923, 0.9564)  3 In 2.82-3.05, 1 Sn 2.83, 8 Pd 2.83-2.97
Pd (0.6747, 0.6747, 0.4171)  1 Sn 2.72, 3 In 2.72-2.82, 8 Pd 2.83-2.99
Pd (0.8520, 0.8520, 0.2984)  3 In 2.78-2.84, 7 Pd 2.82-2.96, 2 Sn 3.02
Pd (0.9629, 0.9629, 0.7665)  1 In 2.76, 9 Pd 2.82-2.97, 2 Sn 2.82

# InSn3Pd7

InSn3Pd7 after structural relaxation (PBE, Alexandria via LeMat-Bulk).

Computed properties:
The calculation puts the total DFT energy (no corrections) at -0.1843 Ha/atom. For the spin magnetization, the calculation gives 0.00 μB per cell.

abc: 6.4960 6.4960 5.4621
angles: 105.74 105.74 96.99
Closest atoms and distances in Å follow each position.
Fractional positions:
In (0.0000, 0.0000, 0.0000)  8 Pd 2.73-2.92
Sn (0.2709, 0.7291, 0.5000)  7 Pd 2.64-2.71
Sn (0.5000, 0.5000, 0.0000)  6 Pd 2.71-2.76
Sn (0.7291, 0.2709, 0.5000)  7 Pd 2.64-2.71
Pd (0.0000, 0.0000, 0.5000)  2 Sn 2.64, 2 In 2.73, 2 Pd 2.81
Pd (0.0892, 0.5650, 0.8175)  3 Sn 2.65-2.71, 3 Pd 2.82-2.94, 1 In 2.92
Pd (0.3121, 0.3121, 0.4517)  3 Sn 2.70-2.76, 5 Pd 2.81-3.03, 1 In 2.81
Pd (0.4350, 0.9108, 0.1825)  3 Sn 2.65-2.71, 3 Pd 2.82-2.94, 1 In 2.92
Pd (0.5650, 0.0892, 0.8175)  3 Sn 2.65-2.71, 3 Pd 2.82-2.94, 1 In 2.92
Pd (0.6879, 0.6879, 0.5483)  3 Sn 2.70-2.76, 5 Pd 2.81-3.03, 1 In 2.81
Pd (0.9108, 0.4350, 0.1825)  3 Sn 2.65-2.71, 3 Pd 2.82-2.94, 1 In 2.92

# In2Sn2Pd

In2Sn2Pd after structural relaxation (PBE, Alexandria via LeMat-Bulk).

Computed properties:
The calculation puts the total DFT energy (no corrections) at -0.1403 Ha/atom. The energy above the lowest structure with this stoichiometry comes out at 82.4 meV/atom. For the spin magnetization, the calculation gives 0.00 μB per cell.

abc: 7.0416 7.0416 5.1695
angles: 90.00 90.00 90.00
Closest atoms and distances in Å follow each position.
Fractional positions:
In (0.1679, 0.3321, 0.0000)  6 Sn 3.15-3.43, 1 In 3.34
In (0.3321, 0.8321, 0.0000)  6 Sn 3.15-3.43, 1 In 3.34
In (0.6679, 0.1679, 0.0000)  6 Sn 3.15-3.43, 1 In 3.34
In (0.8321, 0.6679, 0.0000)  6 Sn 3.15-3.43, 1 In 3.34
Sn (0.1508, 0.6508, 0.5000)  2 Pd 2.68
Sn (0.3492, 0.1508, 0.5000)  2 Pd 2.68
Sn (0.6508, 0.8492, 0.5000)  2 Pd 2.68
Sn (0.8492, 0.3492, 0.5000)  2 Pd 2.68
Pd (0.0000, 0.0000, 0.5000)  4 Sn 2.68
Pd (0.5000, 0.5000, 0.5000)  4 Sn 2.68

# In3SnPd4

In3SnPd4 after structural relaxation (PBE, Alexandria via LeMat-Bulk).

Computed properties:
The calculation puts the total DFT energy (no corrections) at -0.1683 Ha/atom. For the spin magnetization, the calculation gives 0.00 μB per cell.

abc: 6.6303 6.6303 6.6303
angles: 90.00 90.00 90.00
Closest atoms and distances in Å follow each position.
Fractional positions:
In (0.0000, 0.0000, 0.5000)  8 Pd 2.87
In (0.0000, 0.5000, 0.0000)  8 Pd 2.87
In (0.0000, 0.5000, 0.5000)  8 Pd 2.87
In (0.5000, 0.0000, 0.0000)  8 Pd 2.87
In (0.5000, 0.0000, 0.5000)  8 Pd 2.87
In (0.5000, 0.5000, 0.0000)  8 Pd 2.87
Sn (0.0000, 0.0000, 0.0000)  8 Pd 2.87
Sn (0.5000, 0.5000, 0.5000)  8 Pd 2.87
Pd (0.2500, 0.2500, 0.2500)  6 In 2.87, 2 Sn 2.87
Pd (0.2500, 0.2500, 0.7500)  6 In 2.87, 2 Sn 2.87
Pd (0.2500, 0.7500, 0.2500)  6 In 2.87, 2 Sn 2.87
Pd (0.2500, 0.7500, 0.7500)  6 In 2.87, 2 Sn 2.87
Pd (0.7500, 0.2500, 0.2500)  6 In 2.87, 2 Sn 2.87
Pd (0.7500, 0.2500, 0.7500)  6 In 2.87, 2 Sn 2.87
Pd (0.7500, 0.7500, 0.2500)  6 In 2.87, 2 Sn 2.87
Pd (0.7500, 0.7500, 0.7500)  6 In 2.87, 2 Sn 2.87

# In4SnPd15

In4SnPd15 after structural relaxation (PBE, Alexandria via LeMat-Bulk).

Computed properties:
The calculation puts the total DFT energy (no corrections) at -0.1869 Ha/atom. For the spin magnetization, the calculation gives 0.00 μB per cell.

abc: 4.0351 4.0351 20.2257
angles: 90.00 90.00 90.00
Closest atoms and distances in Å follow each position.
Fractional positions:
In (0.0000, 0.0000, 0.1000)  12 Pd 2.85-2.86
In (0.0000, 0.0000, 0.2995)  12 Pd 2.85-2.87
In (0.0000, 0.0000, 0.7005)  12 Pd 2.85-2.87
In (0.0000, 0.0000, 0.9000)  12 Pd 2.85-2.86
Sn (0.0000, 0.0000, 0.5000)  12 Pd 2.85
Pd (0.0000, 0.5000, 0.0000)  8 Pd 2.85, 4 In 2.86
Pd (0.0000, 0.5000, 0.1998)  4 In 2.85, 8 Pd 2.85-2.87
Pd (0.0000, 0.5000, 0.4007)  2 Sn 2.85, 8 Pd 2.85-2.86, 2 In 2.87
Pd (0.0000, 0.5000, 0.5993)  2 Sn 2.85, 8 Pd 2.85-2.86, 2 In 2.87
Pd (0.0000, 0.5000, 0.8002)  4 In 2.85, 8 Pd 2.85-2.87
Pd (0.5000, 0.0000, 0.0000)  8 Pd 2.85, 4 In 2.86
Pd (0.5000, 0.0000, 0.1998)  4 In 2.85, 8 Pd 2.85-2.87
Pd (0.5000, 0.0000, 0.4007)  2 Sn 2.85, 8 Pd 2.85-2.86, 2 In 2.87
Pd (0.5000, 0.0000, 0.5993)  2 Sn 2.85, 8 Pd 2.85-2.86, 2 In 2.87
Pd (0.5000, 0.0000, 0.8002)  4 In 2.85, 8 Pd 2.85-2.87
Pd (0.5000, 0.5000, 0.0998)  4 In 2.85, 8 Pd 2.85-2.86
Pd (0.5000, 0.5000, 0.3006)  4 In 2.85, 8 Pd 2.86-2.87
Pd (0.5000, 0.5000, 0.5000)  8 Pd 2.85, 4 Sn 2.85
Pd (0.5000, 0.5000, 0.6994)  4 In 2.85, 8 Pd 2.86-2.87
Pd (0.5000, 0.5000, 0.9002)  4 In 2.85, 8 Pd 2.85-2.86

# In2Sn3Pd8

In2Sn3Pd8 after structural relaxation (PBE, Alexandria via LeMat-Bulk).

Computed properties:
The calculation puts the total DFT energy (no corrections) at -0.1768 Ha/atom. For the spin magnetization, the calculation gives 0.00 μB per cell.

abc: 10.2527 10.2527 10.2527
angles: 30.88 30.88 30.88
Closest atoms and distances in Å follow each position.
Fractional positions:
In (0.1278, 0.1278, 0.1278)  4 Pd 2.63-2.72
In (0.8722, 0.8722, 0.8722)  4 Pd 2.63-2.72
Sn (0.3073, 0.3073, 0.3073)  10 Pd 2.62-2.83
Sn (0.5000, 0.5000, 0.5000)  6 In 3.35, 12 Pd 3.49-3.71
Sn (0.6927, 0.6927, 0.6927)  10 Pd 2.62-2.83
Pd (0.2176, 0.2176, 0.2176)  1 Sn 2.62, 1 In 2.63
Pd (0.2187, 0.2187, 0.7183)  1 In 2.72, 4 Pd 2.73, 3 Sn 2.77-2.83
Pd (0.2187, 0.7183, 0.2187)  1 In 2.72, 4 Pd 2.73, 3 Sn 2.77-2.83
Pd (0.2817, 0.7813, 0.7813)  1 In 2.72, 4 Pd 2.73, 3 Sn 2.77-2.83
Pd (0.7183, 0.2187, 0.2187)  1 In 2.72, 4 Pd 2.73, 3 Sn 2.77-2.83
Pd (0.7813, 0.2817, 0.7813)  1 In 2.72, 4 Pd 2.73, 3 Sn 2.77-2.83
Pd (0.7813, 0.7813, 0.2817)  1 In 2.72, 4 Pd 2.73, 3 Sn 2.77-2.83
Pd (0.7824, 0.7824, 0.7824)  1 Sn 2.62, 1 In 2.63

Question: Number 2 is which compound?
Answer: SmZn2InPd5